## one
The following is a GGA-PBE calculation of a relaxed structure of KMg14Mn, from the Alexandria database.

abc: 6.483 6.483 10.474
angles: 90.00 90.00 120.00
Positions (direct):
1 K 0.000 0.000 0.000
2 Mg 0.010 0.505 0.000
3 Mg 0.166 0.332 0.270
4 Mg 0.166 0.332 0.730
5 Mg 0.166 0.834 0.270
6 Mg 0.166 0.834 0.730
7 Mg 0.495 0.505 0.000
8 Mg 0.495 0.990 0.000
9 Mg 0.503 0.007 0.500
10 Mg 0.503 0.497 0.500
11 Mg 0.667 0.333 0.242
12 Mg 0.667 0.333 0.758
13 Mg 0.668 0.834 0.270
14 Mg 0.668 0.834 0.730
15 Mg 0.993 0.497 0.500
16 Mn 0.000 0.000 0.500

Computed properties:
* theoretical density: 1.9 g/cm³
* total magnetization: 3.7 μB per formula unit
* SG: No. 187

---

## two
The following is a GGA-PBE calculation of a relaxed structure of KMg14Mn, from the Alexandria database.

abc: 10.520 6.497 6.497
angles: 59.26 90.00 90.00
Positions (direct):
1 K 0.000 0.000 0.000
2 Mg 0.000 0.004 0.495
3 Mg 0.000 0.495 0.004
4 Mg 0.232 0.648 0.648
5 Mg 0.253 0.159 0.644
6 Mg 0.253 0.644 0.159
7 Mg 0.263 0.157 0.157
8 Mg 0.500 0.488 0.488
9 Mg 0.500 0.492 0.982
10 Mg 0.500 0.982 0.492
11 Mg 0.500 0.986 0.986
12 Mg 0.737 0.157 0.157
13 Mg 0.747 0.159 0.644
14 Mg 0.747 0.644 0.159
15 Mg 0.768 0.648 0.648
16 Mn 0.000 0.479 0.479

Computed properties:
* theoretical density: 1.9 g/cm³
* total magnetization: 3.9 μB per formula unit
* SG: No. 38

---

one is preferred energetically. Next in line: 9 meV/atom higher.

---

## one
The following is a GGA-PBE calculation of a relaxed structure of K2MgMnNi, from the Alexandria database.

abc: 6.511 6.511 4.698
angles: 90.00 90.00 90.00
Positions (direct):
1 K 0.000 0.500 0.000
2 K 0.500 0.000 0.000
3 Mg 0.000 0.000 0.000
4 Mn 0.500 0.500 0.500
5 Ni 0.000 0.000 0.500

Computed properties:
* theoretical density: 1.8 g/cm³
* total magnetization: 4.6 μB per formula unit
* SG: No. 123

---

## two
The following is a GGA-PBE calculation of a relaxed structure of K2MgMnNi, from the Alexandria database.

abc: 6.193 6.193 4.652
angles: 90.00 90.00 90.00
Positions (direct):
1 K 0.000 0.500 0.000
2 K 0.500 0.000 0.000
3 Mg 0.000 0.000 0.500
4 Mn 0.500 0.500 0.500
5 Ni 0.500 0.500 0.000

Computed properties:
* theoretical density: 2.0 g/cm³
* total magnetization: 4.5 μB per formula unit
* SG: No. 123

---

two is preferred energetically. Next in line: 322 meV/atom higher.